DFT (GGA-PBE) results for a geometry-optimized LiCaTc structure.

The structure in CIF format:
```
data_LiCaTc
_cell_length_a 16.574
_cell_length_b 4.916
_cell_length_c 3.740
_cell_angle_alpha 90.00
_cell_angle_beta 101.82
_cell_angle_gamma 90.00
_symmetry_space_group_name_H-M 'C 1 2/m 1'
_symmetry_Int_Tables_number 12
_symmetry_space_group_name_Hall '-C 2y'
loop_
_atom_site_label
_atom_site_type_symbol
_atom_site_fract_x
_atom_site_fract_y
_atom_site_fract_z
Li1 Li 0.212 0.000 0.327
Ca1 Ca 0.092 0.500 0.832
Tc1 Tc 0.042 0.000 0.288
```

Results
Excess energy over the best structure of this formula in the dataset in meV per atom: 113
Size of the total moment in μB/cell: 0.000
Calculated formation energy in eV per atom: 0.263
Total energy in eV per atom: -4.50
Crystal system: monoclinic
Mass density in g/cm³: 3.230